Compound: KAg3GeS4
Source: OQMD
Functional: GGA-PBE
Structure: relaxed

a = 6.3668 Å, b = 6.3668 Å, c = 6.3668 Å
α = 90.00°, β = 90.00°, γ = 90.00°
Last column: nearest neighbours and their distance in Å.
Space group P-43m (No. 215)
Asymmetric unit:
K (0.0000, 0.0000, 0.0000) [1 per cell]  4 S 3.26
Ag (0.0000, 0.5000, 0.5000) [3 per cell]  4 S 2.63
Ge (0.5000, 0.5000, 0.5000) [1 per cell]  4 S 2.26
S (0.2954, 0.2954, 0.2954) [4 per cell]  1 Ge 2.26

Computed properties:
Total DFT energy (no corrections) = -3.7651 eV per atom
Calculated volume = 258.08 Å³/cell